This record from Alexandria via LeMat-Bulk describes an optimized crystal structure of EuCuRh2. The functional is PBE.

The structure in POSCAR format:
```
EuCuRh2
1.0
2.902 0.000 0.000
-1.451 2.513 0.000
0.000 0.000 27.963
Eu Cu Rh
3 3 6
direct
0.000 0.000 0.000
0.333 0.667 0.667
0.667 0.333 0.333
0.000 0.000 0.500
0.333 0.667 0.167
0.667 0.333 0.833
0.000 0.000 0.094
0.000 0.000 0.906
0.333 0.667 0.572
0.333 0.667 0.761
0.667 0.333 0.239
0.667 0.333 0.428
```

Properties
Formation energy from the elements in eV per atom: 0.43
E in eV/atom: -6.84
D(E_F) in states/eV/cell: 17.2

***

This record from Alexandria via LeMat-Bulk describes an optimized crystal structure of Eu2CuRh. The functional is PBE.

The structure in POSCAR format:
```
Eu2CuRh
1.0
3.530 0.000 0.000
0.000 3.530 0.000
0.000 0.000 7.353
Eu Cu Rh
2 1 1
direct
0.000 0.000 0.239
0.000 0.000 0.761
0.500 0.500 0.500
0.500 0.500 0.000
```

Properties
Formation energy from the elements in eV per atom: -0.24
E in eV/atom: -8.24
D(E_F) in states/eV/cell: 15.7

***

This record from Alexandria via LeMat-Bulk describes an optimized crystal structure of EuCu2Rh. The functional is PBE.

The structure in POSCAR format:
```
EuCu2Rh
1.0
4.282 0.000 0.000
-2.141 3.709 0.000
0.000 0.000 14.735
Eu Cu Rh
3 6 3
direct
0.000 0.000 0.000
0.333 0.667 0.667
0.667 0.333 0.333
0.000 0.000 0.196
0.000 0.000 0.804
0.333 0.667 0.470
0.333 0.667 0.863
0.667 0.333 0.137
0.667 0.333 0.530
0.000 0.000 0.500
0.333 0.667 0.167
0.667 0.333 0.833
```

Properties
Formation energy from the elements in eV per atom: -0.16
E in eV/atom: -6.61
D(E_F) in states/eV/cell: 44.0

***

| no. | magnetization (μB/cell) |
| --- | --- |
| 1 | 19.69 |
| 2 | 14.05 |
| 3 | 20.98 |